a.
AlZnCu6 | GGA-PBE | optimized geometry

Cell and atoms, written as CIF:
```
data_AlZnCu6
_cell_length_a 6.6373
_cell_length_b 6.6373
_cell_length_c 9.3027
_cell_angle_alpha 90.00
_cell_angle_beta 90.00
_cell_angle_gamma 120.00
_space_group_name_H-M_alt 'R -3 m'
_space_group_IT_number 166
_space_group_name_Hall '-R 3 2"'
loop_
_atom_site_label
_atom_site_type_symbol
_atom_site_fract_x
_atom_site_fract_y
_atom_site_fract_z
_atom_site_occupancy
Al1 Al 0.0000 0.0000 0.0000 1
Zn1 Zn 0.0000 0.0000 0.5000 1
Cu1 Cu 0.0868 0.5434 0.8822 1
```

Computed properties:
M_tot = 0.00 μB per formula unit
N(E_F) = 0.36 states/eV/atom
Theoretical density = 6.65 g cm⁻³

b.
AlZnCu6 | GGA-PBE | optimized geometry

Cell and atoms, written as CIF:
```
data_AlZnCu6
_cell_length_a 7.332
_cell_length_b 10.461
_cell_length_c 10.409
_cell_angle_alpha 90.00
_cell_angle_beta 90.00
_cell_angle_gamma 90.00
_space_group_name_H-M_alt 'C m m m'
_space_group_IT_number 65
_space_group_name_Hall '-C 2 2'
loop_
_atom_site_label
_atom_site_type_symbol
_atom_site_fract_x
_atom_site_fract_y
_atom_site_fract_z
_atom_site_occupancy
Al1 Al 0.000 0.000 0.250 1
Al2 Al 0.000 0.251 0.000 1
Zn1 Zn 0.000 0.251 0.500 1
Zn2 Zn 0.000 0.500 0.251 1
Cu1 Cu 0.000 0.000 0.000 1
Cu2 Cu 0.000 0.000 0.500 1
Cu3 Cu 0.000 0.250 0.250 1
Cu4 Cu 0.000 0.500 0.000 1
Cu5 Cu 0.000 0.500 0.500 1
Cu6 Cu 0.249 0.125 0.125 1
Cu7 Cu 0.249 0.125 0.375 1
```

Computed properties:
M_tot = 0.00 μB per formula unit
N(E_F) = 0.23 states/eV/atom
Theoretical density = 7.88 g cm⁻³

Most stable one: b, least stable one: a.

a.
Al3ZnCu | GGA-PBE | optimized geometry

Cell and atoms, written as CIF:
```
data_Al3ZnCu
_cell_length_a 4.592
_cell_length_b 4.592
_cell_length_c 4.592
_cell_angle_alpha 90.00
_cell_angle_beta 90.00
_cell_angle_gamma 90.00
_space_group_name_H-M_alt 'P m -3 m'
_space_group_IT_number 221
_space_group_name_Hall '-P 4 2 3'
loop_
_atom_site_label
_atom_site_type_symbol
_atom_site_fract_x
_atom_site_fract_y
_atom_site_fract_z
_atom_site_occupancy
Al1 Al 0.000 0.000 0.500 1
Zn1 Zn 0.500 0.500 0.500 1
Cu1 Cu 0.000 0.000 0.000 1
```

Computed properties:
M_tot = 0.00 μB per formula unit
N(E_F) = 0.55 states/eV/atom
Theoretical density = 3.60 g cm⁻³

b.
Al3ZnCu | GGA-PBE | optimized geometry

Cell and atoms, written as CIF:
```
data_Al3ZnCu
_cell_length_a 4.684
_cell_length_b 4.684
_cell_length_c 4.684
_cell_angle_alpha 90.00
_cell_angle_beta 90.00
_cell_angle_gamma 90.00
_space_group_name_H-M_alt 'P m -3 m'
_space_group_IT_number 221
_space_group_name_Hall '-P 4 2 3'
loop_
_atom_site_label
_atom_site_type_symbol
_atom_site_fract_x
_atom_site_fract_y
_atom_site_fract_z
_atom_site_occupancy
Al1 Al 0.000 0.000 0.500 1
Zn1 Zn 0.000 0.000 0.000 1
Cu1 Cu 0.500 0.500 0.500 1
```

Computed properties:
M_tot = 0.00 μB per formula unit
N(E_F) = 0.52 states/eV/atom
Theoretical density = 3.39 g cm⁻³

Most stable one: a, least stable one: b.

a.
AlZnCu3 | GGA-PBE | optimized geometry

Cell and atoms, written as CIF:
```
data_AlZnCu3
_cell_length_a 6.432
_cell_length_b 11.090
_cell_length_c 4.610
_cell_angle_alpha 90.00
_cell_angle_beta 90.00
_cell_angle_gamma 90.00
_space_group_name_H-M_alt 'C m c m'
_space_group_IT_number 63
_space_group_name_Hall '-C 2c 2'
loop_
_atom_site_label
_atom_site_type_symbol
_atom_site_fract_x
_atom_site_fract_y
_atom_site_fract_z
_atom_site_occupancy
Al1 Al 0.000 0.197 0.250 1
Zn1 Zn 0.000 0.451 0.250 1
Cu1 Cu 0.000 0.000 0.000 1
Cu2 Cu 0.187 0.182 0.750 1
```

Computed properties:
M_tot = 0.00 μB per formula unit
N(E_F) = 0.29 states/eV/atom
Theoretical density = 5.72 g cm⁻³

b.
AlZnCu3 | GGA-PBE | optimized geometry

Cell and atoms, written as CIF:
```
data_AlZnCu3
_cell_length_a 6.498
_cell_length_b 9.876
_cell_length_c 4.630
_cell_angle_alpha 90.00
_cell_angle_beta 90.00
_cell_angle_gamma 90.00
_space_group_name_H-M_alt 'C m c m'
_space_group_IT_number 63
_space_group_name_Hall '-C 2c 2'
loop_
_atom_site_label
_atom_site_type_symbol
_atom_site_fract_x
_atom_site_fract_y
_atom_site_fract_z
_atom_site_occupancy
Al1 Al 0.000 0.175 0.250 1
Zn1 Zn 0.000 0.500 0.000 1
Cu1 Cu 0.000 0.285 0.750 1
Cu2 Cu 0.183 0.070 0.750 1
```

Computed properties:
M_tot = 0.00 μB per formula unit
N(E_F) = 0.37 states/eV/atom
Theoretical density = 6.33 g cm⁻³

c.
AlZnCu3 | GGA-PBE | optimized geometry

Cell and atoms, written as CIF:
```
data_AlZnCu3
_cell_length_a 4.432
_cell_length_b 4.432
_cell_length_c 4.432
_cell_angle_alpha 90.00
_cell_angle_beta 90.00
_cell_angle_gamma 90.00
_space_group_name_H-M_alt 'P m -3 m'
_space_group_IT_number 221
_space_group_name_Hall '-P 4 2 3'
loop_
_atom_site_label
_atom_site_type_symbol
_atom_site_fract_x
_atom_site_fract_y
_atom_site_fract_z
_atom_site_occupancy
Al1 Al 0.000 0.000 0.000 1
Zn1 Zn 0.500 0.500 0.500 1
Cu1 Cu 0.000 0.500 0.500 1
```

Computed properties:
M_tot = 0.00 μB per formula unit
N(E_F) = 0.37 states/eV/atom
Theoretical density = 5.40 g cm⁻³

Most stable one: b, least stable one: c.